# 1
This record from Alexandria via LeMat-Bulk describes crystalline Cr2RuRh5 at its relaxed geometry. The functional is PBE-GGA.

a b c (Å): 6.5089 6.5089 10.7736
angles (deg): 90.00 90.00 90.00
Space group I4/mcm (No. 140)
Symmetry-distinct sites (fractional):
Cr: 0.1429 0.3571 0.0000 [8 per cell]
Ru: 0.0000 0.0000 0.2500 [4 per cell]
Rh: 0.0000 0.0000 0.0000 [4 per cell]
Rh: 0.1563 0.3437 0.3441 [16 per cell]

Results
**Crystal system**: tetragonal
**D(E_F)**: 13.24 states/eV/f.u.
**Energy above the lowest structure with this stoichiometry**: 0.0000 eV per atom
**M_tot**: 3.89 μB/f.u.
**Calculated volume**: 114 Å³/f.u.
**E_tot**: -63.40 eV/f.u.


# 2
This record from Alexandria via LeMat-Bulk describes crystalline CrRu2Rh at its relaxed geometry. The functional is PBE-GGA.

a b c (Å): 5.3559 5.3681 7.5310
angles (deg): 90.00 90.00 90.00
Space group F222 (No. 22)
Symmetry-distinct sites (fractional):
Cr: 0.0000 0.0000 0.0000 [4 per cell]
Ru: 0.0000 0.0000 0.5000 [4 per cell]
Ru: 0.2500 0.2500 0.2500 [4 per cell]
Rh: 0.2500 0.2500 0.7500 [4 per cell]

Results
**Crystal system**: orthorhombic
**D(E_F)**: 4.29 states/eV/f.u.
**M_tot**: 0.64 μB/f.u.
**Calculated volume**: 54 Å³/f.u.
**E_tot**: -35.41 eV/f.u.


# 3
This record from Alexandria via LeMat-Bulk describes crystalline CrRu2Rh at its relaxed geometry. The functional is PBE-GGA.

a b c (Å): 3.7959 3.7959 7.5177
angles (deg): 90.00 90.00 90.00
Space group I4/mmm (No. 139)
Symmetry-distinct sites (fractional):
Cr: 0.0000 0.0000 0.0000 [2 per cell]
Ru: 0.0000 0.5000 0.2500 [4 per cell]
Rh: 0.0000 0.0000 0.5000 [2 per cell]

Results
**Crystal system**: tetragonal
**D(E_F)**: 4.43 states/eV/f.u.
**M_tot**: 0.69 μB/f.u.
**Calculated volume**: 54 Å³/f.u.
**E_tot**: -35.33 eV/f.u.


# 4
This record from Alexandria via LeMat-Bulk describes crystalline CrRu2Rh at its relaxed geometry. The functional is PBE-GGA.

a b c (Å): 2.6820 2.6820 26.0786
angles (deg): 90.00 90.00 120.00
Space group R-3m (No. 166, hexagonal axes)
Symmetry-distinct sites (fractional):
Cr: 0.0000 0.0000 0.0000 [3 per cell]
Ru: 0.0000 0.0000 0.2533 [6 per cell]
Rh: 0.0000 0.0000 0.5000 [3 per cell]

Results
**Crystal system**: trigonal
**D(E_F)**: 5.78 states/eV/f.u.
**M_tot**: 0.00 μB/f.u.
**Calculated volume**: 54 Å³/f.u.
**E_tot**: -35.11 eV/f.u.


# 5
This record from Alexandria via LeMat-Bulk describes crystalline CrRu4Rh8 at its relaxed geometry. The functional is PBE-GGA.

a b c (Å): 5.9431 5.9431 5.9431
angles (deg): 90.00 90.00 90.00
Space group Pm-3m (No. 221)
Symmetry-distinct sites (fractional):
Cr: 0.0000 0.0000 0.0000 [1 per cell]
Ru: 0.0000 0.0000 0.5000 [3 per cell]
Ru: 0.5000 0.5000 0.5000 [1 per cell]
Rh: 0.2569 0.2569 0.2569 [8 per cell]

Results
**Crystal system**: cubic
**D(E_F)**: 20.22 states/eV/f.u.
**M_tot**: 8.84 μB/f.u.
**Calculated volume**: 210 Å³/f.u.
**E_tot**: -98.28 eV/f.u.


# 6
This record from Alexandria via LeMat-Bulk describes crystalline CrRuRh at its relaxed geometry. The functional is PBE-GGA.

a b c (Å): 2.6787 2.6787 11.1555
angles (deg): 90.00 90.00 90.00
Space group I4mm (No. 107)
Symmetry-distinct sites (fractional):
Cr: 0.0000 0.0000 0.0000 [2 per cell]
Ru: 0.0000 0.0000 0.6551 [2 per cell]
Rh: 0.0000 0.0000 0.3382 [2 per cell]

Results
**Crystal system**: tetragonal
**D(E_F)**: 5.04 states/eV/f.u.
**Energy above the lowest structure with this stoichiometry**: 0.0000 eV per atom
**M_tot**: 0.00 μB/f.u.
**Calculated volume**: 40 Å³/f.u.
**E_tot**: -26.16 eV/f.u.


# 7
This record from Alexandria via LeMat-Bulk describes crystalline CrRu2Rh at its relaxed geometry. The functional is PBE-GGA.

a b c (Å): 3.6763 3.6763 17.4477
angles (deg): 90.00 90.00 90.00
Space group I-42d (No. 122)
Symmetry-distinct sites (fractional):
Cr: 0.0000 0.0000 0.0000 [4 per cell]
Ru: 0.2351 0.2500 0.1250 [8 per cell]
Rh: 0.0000 0.0000 0.5000 [4 per cell]

Results
**Crystal system**: tetragonal
**D(E_F)**: 7.92 states/eV/f.u.
**M_tot**: 0.00 μB/f.u.
**Calculated volume**: 59 Å³/f.u.
**E_tot**: -33.14 eV/f.u.


# 8
This record from Alexandria via LeMat-Bulk describes crystalline CrRuRh at its relaxed geometry. The functional is PBE-GGA.

a b c (Å): 2.7222 4.6547 6.7920
angles (deg): 94.11 90.34 107.00
Space group P-1 (No. 2)
Symmetry-distinct sites (fractional):
Cr: 0.1538 0.3143 0.4152 [2 per cell]
Ru: 0.1437 0.2825 0.0683 [2 per cell]
Rh: 0.4215 0.8456 0.2842 [2 per cell]

Results
**Crystal system**: triclinic
**D(E_F)**: 2.78 states/eV/f.u.
**Energy above the lowest structure with this stoichiometry**: 0.0969 eV per atom
**M_tot**: 0.00 μB/f.u.
**Calculated volume**: 41 Å³/f.u.
**E_tot**: -25.87 eV/f.u.


Quick rundown of calculated density, same order as above: 10.5; 11.0; 10.9; 10.9; 10.1; 10.6; 10.1; 10.4 g cm⁻³